A plane-wave DFT calculation with PBE was carried out for an optimized crystal structure of Li2Zn2In.

a b c (Å): 7.391 7.391 3.148
angles (deg): 90.00 90.00 90.00
Fractional positions:
1 Li 0.170 0.330 0.000
2 Li 0.330 0.830 0.000
3 Li 0.670 0.170 0.000
4 Li 0.830 0.670 0.000
5 Zn 0.124 0.624 0.500
6 Zn 0.376 0.124 0.500
7 Zn 0.624 0.876 0.500
8 Zn 0.876 0.376 0.500
9 In 0.000 0.000 0.500
10 In 0.500 0.500 0.500

Properties
Fermi-level density of states   3.7 states/eV per cell
Formation energy from the elements   -0.161 eV/atom
Distance to the lowest polymorph of the same formula   0.046 eV per atom
Symmetry   P4/mbm
Magnetic moment   0.0 μB per cell